{
  "formula": "CaLa3Fe4O12",
  "functional": "PBE+U",
  "state": "relaxed",
  "lattice_angstrom": [[7.8805, 0.0000, 0.0000], [0.0000, 5.5471, -0.0012], [0.0000, 0.0045, 5.5951]],
  "species": ["O", "O", "Fe", "La", "O", "Ca", "Fe", "O", "La", "Fe", "O", "Fe", "O", "O", "O", "O", "O", "O", "La", "O"],
  "fractional_positions": [[0.7038, 0.7175, 0.2838], [0.2962, 0.7175, 0.2838], [0.2460, 0.5001, 0.0006], [0.0000, 0.0077, 0.9628], [0.2134, 0.2100, 0.2098], [0.0000, 0.4901, 0.4593], [0.7546, 0.0004, 0.4998], [0.0000, 0.5782, 0.0292], [0.5000, 0.5075, 0.5356], [0.7540, 0.5001, 0.0006], [0.7866, 0.2100, 0.2098], [0.2454, 0.0004, 0.4998], [0.7946, 0.2880, 0.7117], [0.0000, 0.9138, 0.5174], [0.2054, 0.2880, 0.7117], [0.5000, 0.4258, 0.9814], [0.7095, 0.7875, 0.7879], [0.5000, 0.0767, 0.4898], [0.5000, 0.9933, 0.0372], [0.2905, 0.7875, 0.7879]],
  "dft_energy_ev_per_cell": -146.5,
  "dos_at_fermi_per_ev_cell": 4.18,
  "magmom_total_mub_per_cell": 19.00
}